(1)
The following is a DFT calculation (GGA-PBE) of crystalline ScTaS2N at its relaxed geometry.

a b c (Å): 4.8576 4.8576 3.9080
angles (deg): 90.00 90.00 90.00
With the nearest neighbours (Å) after each atom.
Positions (direct):
1 Sc 0.0000 0.0000 0.0000  8 S 3.12, 4 N 3.43
2 Ta 0.5000 0.5000 0.5000  2 N 1.95
3 S 0.0000 0.5000 0.5000  2 Ta 2.43
4 S 0.5000 0.0000 0.5000  2 Ta 2.43
5 N 0.5000 0.5000 0.0000  2 Ta 1.95

Properties
E_form (uncorrected)   -676 meV/atom
Density   5.5 g/cm³
Total moment   0.07 μB per atom
VASP energy   -7.629 eV per atom
Crystal system   tetragonal


(2)
The following is a DFT calculation (GGA-PBE) of crystalline ScTcS2N at its relaxed geometry.

a b c (Å): 4.9473 4.9473 4.0883
angles (deg): 90.00 90.00 90.00
With the nearest neighbours (Å) after each atom.
Positions (direct):
1 Sc 0.0000 0.0000 0.0000  2 N 2.04
2 Tc 0.5000 0.5000 0.5000  8 S 3.21, 4 N 3.50
3 S 0.0000 0.5000 0.0000  2 Sc 2.47
4 S 0.5000 0.0000 0.0000  2 Sc 2.47
5 N 0.0000 0.0000 0.5000  2 Sc 2.04

Properties
E_form (uncorrected)   520 meV/atom
Density   3.7 g/cm³
Total moment   0.60 μB per atom
VASP energy   -6.135 eV per atom
Crystal system   tetragonal


For the records above, the corresponding offset from the most stable computed form values read 0 859 meV per atom.